(1)
Material: MgV4Ge4O16
Method: DFT, PBE+U
State: relaxed

a b c (Å): 4.3389 4.6205 12.9022
angles (deg): 94.08 90.01 90.41
With the nearest neighbours (Å) after each atom.
Atoms (fractional coordinates):
Mg (0.3637, 0.9479, 0.4311)  4 O 2.05-2.18
V (0.8545, 0.5236, 0.4402)  5 O 2.08-2.32
V (0.4988, 0.7646, 0.9296)  5 O 1.87-2.10
V (0.5048, 0.2871, 0.0529)  6 O 1.85-2.03
V (0.9712, 0.1763, 0.6041)  5 O 1.85-1.98
Ge (0.9950, 0.8199, 0.1712)  6 O 1.87-2.01
Ge (0.4639, 0.3536, 0.2684)  5 O 1.79-1.94
Ge (0.4863, 0.7139, 0.6994)  6 O 1.90-2.01
Ge (0.0023, 0.2487, 0.8310)  6 O 1.90-1.96
O (0.7739, 0.0381, 0.7180)  1 V 1.85, 2 Ge 1.94-1.96
O (0.7242, 0.5058, 0.5949)  2 V 1.88-2.08, 1 Ge 1.91
O (0.7559, 0.0940, 0.9381)  2 V 1.88-2.00, 1 Ge 1.92
O (0.8493, 0.0303, 0.4625)  1 V 1.97, 1 Mg 2.17
O (0.7204, 0.5682, 0.8191)  1 V 1.90, 2 Ge 1.94-2.01
O (0.7298, 0.1385, 0.1706)  2 Ge 1.87-1.94, 1 V 1.97
O (0.7828, 0.6288, 0.2844)  2 Ge 1.87-1.98
O (0.7469, 0.6194, 0.0552)  1 V 1.85, 1 Ge 2.01
O (0.2430, 0.4389, 0.9385)  2 V 1.87-2.03, 1 Ge 1.90
O (0.2139, 0.3946, 0.7138)  2 Ge 1.90-1.93, 1 V 1.98
O (0.2706, 0.9131, 0.8192)  1 V 1.90, 2 Ge 1.94-1.98
O (0.2546, 0.4935, 0.1635)  2 Ge 1.79-1.89, 1 V 1.99
O (0.2907, 0.8968, 0.5897)  1 V 1.90, 1 Ge 1.90, 1 Mg 2.10
O (0.2468, 0.9672, 0.0546)  1 V 1.85, 1 Ge 2.01
O (0.3602, 0.4767, 0.4072)  1 Ge 1.90
O (0.2402, 0.0160, 0.2818)  2 Ge 1.85-1.95, 1 Mg 2.05

Calculated values
Crystal system = triclinic
Energy = -6.862 eV per atom
Size of the total moment = 0.2400 μB per atom



(2)
Material: MgV4Ge4O16
Method: DFT, PBE+U
State: relaxed

a b c (Å): 4.8415 5.3446 11.1448
angles (deg): 94.80 90.91 90.69
With the nearest neighbours (Å) after each atom.
Atoms (fractional coordinates):
Mg (0.4947, 0.2702, 0.2344)  4 O 1.91-2.07
V (0.9577, 0.7855, 0.5768)  2 O 1.73-1.93
V (0.5170, 0.7404, 0.0672)  5 O 1.95-2.16
V (0.4641, 0.2436, 0.9172)  2 O 1.73-1.89
V (0.9899, 0.2651, 0.4351)  6 O 1.98-2.18
Ge (0.0214, 0.7501, 0.8426)  5 O 1.82-1.95
Ge (0.4477, 0.3721, 0.6460)  4 O 1.78-1.84
Ge (0.4322, 0.8003, 0.3704)  4 O 1.75-1.84
Ge (0.9484, 0.1958, 0.1286)  4 O 1.75-1.84
O (0.2868, 0.0888, 0.3441)  1 Ge 1.75, 1 Mg 1.91
O (0.2240, 0.6162, 0.4657)  1 Ge 1.82, 1 V 1.98
O (0.2841, 0.1199, 0.0819)  1 Ge 1.76
O (0.2065, 0.1335, 0.5777)  1 Ge 1.83
O (0.4021, 0.6230, 0.2288)  1 Ge 1.77, 1 Mg 1.95
O (0.2256, 0.0378, 0.8447)  1 V 1.73, 1 Ge 1.82
O (0.2068, 0.6128, 0.6981)  2 Ge 1.81-1.95
O (0.2433, 0.5617, 0.9440)  1 Ge 1.90, 2 V 2.02-2.06
O (0.7300, 0.3883, 0.0378)  1 Ge 1.84, 1 V 1.95
O (0.8972, 0.3773, 0.2733)  1 Ge 1.83, 1 V 1.99
O (0.7482, 0.9526, 0.1802)  1 Ge 1.75, 1 V 1.95
O (0.6473, 0.3381, 0.7789)  1 Ge 1.78, 1 V 1.89
O (0.7497, 0.9206, 0.4482)  1 Ge 1.84, 1 V 1.93
O (0.7534, 0.8817, 0.9452)  1 Ge 1.85, 1 V 1.98
O (0.7209, 0.4549, 0.5424)  1 Ge 1.84, 1 V 2.01
O (0.7914, 0.8446, 0.7128)  1 V 1.73, 1 Ge 1.92

Calculated values
Crystal system = triclinic
Energy = -6.916 eV per atom
Size of the total moment = 0.2400 μB per atom



(3)
Material: MgV4Ge4O16
Method: DFT, PBE+U
State: relaxed

a b c (Å): 4.5519 4.7680 11.5645
angles (deg): 90.00 90.13 90.56
With the nearest neighbours (Å) after each atom.
Atoms (fractional coordinates):
Mg (0.4973, 0.2433, 0.5651)  6 O 1.94-2.08
V (0.9908, 0.7446, 0.4315)  6 O 1.93-2.13
V (0.5032, 0.7528, 0.9342)  6 O 1.92-2.03
V (0.5038, 0.2531, 0.0685)  6 O 1.90-2.08
V (0.9973, 0.2570, 0.5632)  6 O 1.99-2.07
Ge (0.0049, 0.7538, 0.1793)  6 O 1.91-2.04
Ge (0.4963, 0.2420, 0.3125)  6 O 1.93-2.05
Ge (0.4953, 0.7485, 0.6903)  6 O 1.92-2.02
Ge (0.0020, 0.2533, 0.8240)  6 O 1.92-2.03
O (0.7657, 0.0866, 0.6923)  1 V 2.00, 2 Ge 2.02, 1 Mg 2.06
O (0.7343, 0.5870, 0.5719)  1 Ge 1.92, 1 Mg 1.95, 2 V 1.99-2.13
O (0.7522, 0.0790, 0.9367)  1 Ge 1.92, 2 V 1.92-2.08
O (0.7320, 0.0873, 0.4349)  1 Ge 1.93, 1 Mg 2.00, 2 V 2.02-2.07
O (0.7312, 0.5845, 0.8116)  2 Ge 1.93-2.02, 1 V 1.94
O (0.7259, 0.0819, 0.1882)  1 V 1.90, 2 Ge 1.94-2.03
O (0.7812, 0.5769, 0.3038)  1 V 1.93, 2 Ge 1.95-2.05
O (0.7534, 0.5796, 0.0602)  2 V 1.92-2.03, 1 Ge 1.97
O (0.2533, 0.4259, 0.9372)  1 Ge 1.92, 2 V 1.92-2.07
O (0.2398, 0.4153, 0.6946)  2 Ge 1.96-2.00, 1 V 2.02, 1 Mg 2.08
O (0.2724, 0.9199, 0.8115)  2 Ge 1.92-2.03, 1 V 1.94
O (0.2799, 0.4194, 0.1884)  1 V 1.90, 2 Ge 1.94-2.04
O (0.2497, 0.9088, 0.5692)  1 Mg 1.94, 1 Ge 1.95, 2 V 2.03-2.12
O (0.2533, 0.9248, 0.0595)  2 V 1.93-2.02, 1 Ge 1.96
O (0.2589, 0.4037, 0.4357)  1 Ge 1.95, 1 Mg 2.00, 2 V 2.02-2.04
O (0.2259, 0.9211, 0.3026)  2 Ge 1.91-1.96, 1 V 2.02

Calculated values
Crystal system = triclinic
Energy = -6.853 eV per atom
Size of the total moment = 0.2400 μB per atom



(4)
Material: MgV4Ge4O16
Method: DFT, PBE+U
State: relaxed

a b c (Å): 11.4271 4.6020 4.8365
angles (deg): 89.70 90.00 90.00
With the nearest neighbours (Å) after each atom.
Atoms (fractional coordinates):
Mg (0.2960, 0.5000, 0.5000)  6 O 1.91-2.08
V (0.4434, 0.5000, 0.0000)  6 O 1.99-2.05
V (0.9329, 0.0000, 0.0000)  6 O 1.92-2.02
V (0.0607, 0.0000, 0.5000)  6 O 2.00-2.02
V (0.5744, 0.5000, 0.5000)  6 O 1.88-2.08
Ge (0.1655, 0.5000, 0.0000)  4 O 1.83-2.05
Ge (0.3298, 0.0000, 0.5000)  6 O 1.84-2.06
Ge (0.6817, 0.0000, 0.0000)  6 O 1.94-2.06
Ge (0.8258, 0.5000, 0.5000)  6 O 1.89-2.08
O (0.6944, 0.2837, 0.6695)  1 V 1.88, 2 Ge 1.98-2.06
O (0.5652, 0.2468, 0.1703)  1 Ge 1.94, 2 V 1.98-1.99
O (0.9368, 0.2529, 0.6710)  1 Ge 1.89, 2 V 1.97-2.01
O (0.4355, 0.2553, 0.6505)  1 Ge 1.84, 1 V 2.04
O (0.8082, 0.2165, 0.1695)  1 V 1.92, 2 Ge 1.94-2.08
O (0.1934, 0.2259, 0.6738)  1 Mg 1.91, 1 V 2.02, 2 Ge 2.05-2.06
O (0.3079, 0.2704, 0.1703)  1 Mg 1.92, 2 Ge 2.03-2.11, 1 V 2.05
O (0.0591, 0.2555, 0.1632)  1 Ge 1.83, 2 V 2.00-2.02
O (0.9368, 0.7471, 0.3290)  1 Ge 1.89, 2 V 1.97-2.01
O (0.6944, 0.7163, 0.3305)  1 V 1.88, 2 Ge 1.98-2.06
O (0.8082, 0.7835, 0.8305)  1 V 1.92, 2 Ge 1.94-2.08
O (0.1934, 0.7741, 0.3262)  1 Mg 1.91, 1 V 2.02, 2 Ge 2.05-2.06
O (0.5652, 0.7532, 0.8297)  1 Ge 1.94, 2 V 1.98-1.99
O (0.0591, 0.7445, 0.8368)  1 Ge 1.83, 2 V 2.00-2.02
O (0.4355, 0.7447, 0.3495)  1 Ge 1.84, 1 V 2.04
O (0.3079, 0.7296, 0.8297)  1 Mg 1.92, 2 Ge 2.03-2.11, 1 V 2.05

Calculated values
Crystal system = monoclinic
Energy = -6.853 eV per atom
Size of the total moment = 0.2400 μB per atom



(5)
Material: MgGe2WO6
Method: DFT, PBE+U
State: relaxed

a b c (Å): 8.5183 8.5183 5.0061
angles (deg): 84.62 84.62 64.22
With the nearest neighbours (Å) after each atom.
Atoms (fractional coordinates):
Mg (0.3865, 0.6135, 0.7500)  6 O 2.07-2.27
Mg (0.6135, 0.3865, 0.2500)  6 O 2.07-2.27
Ge (0.4465, 0.2214, 0.7273)  3 O 1.91-1.98
Ge (0.7786, 0.5535, 0.7727)  3 O 1.91-1.98
Ge (0.5535, 0.7786, 0.2727)  3 O 1.91-1.98
Ge (0.2214, 0.4465, 0.2273)  3 O 1.91-1.98
W (0.8986, 0.1014, 0.7500)  6 O 1.90-2.08
W (0.1014, 0.8986, 0.2500)  6 O 1.90-2.08
O (0.3623, 0.4429, 0.5054)  2 Ge 1.91-1.97, 1 Mg 2.07
O (0.5571, 0.6377, 0.9946)  2 Ge 1.91-1.97, 1 Mg 2.07
O (0.6377, 0.5571, 0.4946)  2 Ge 1.91-1.97, 1 Mg 2.07
O (0.4429, 0.3623, 0.0054)  2 Ge 1.91-1.97, 1 Mg 2.07
O (0.1855, 0.6826, 0.0774)  1 W 1.92, 1 Ge 1.98
O (0.3174, 0.8145, 0.4226)  1 W 1.92, 1 Ge 1.98
O (0.8145, 0.3174, 0.9226)  1 W 1.92, 1 Ge 1.98
O (0.6826, 0.1855, 0.5774)  1 W 1.92, 1 Ge 1.98
O (0.1345, 0.0210, 0.9282)  2 W 1.90-2.08
O (0.9790, 0.8655, 0.5718)  2 W 1.90-2.08
O (0.8655, 0.9790, 0.0718)  2 W 1.90-2.08
O (0.0210, 0.1345, 0.4282)  2 W 1.90-2.08

Calculated values
Crystal system = monoclinic
Energy = -6.557 eV per atom
Size of the total moment = 0.0000 μB per atom